Density functional theory data (PBE) for Cr2MoW after structural relaxation.

Results
SG   Pm
ΔH_f (0 K)   0.09 eV/atom

Lattice parameters (Å, degrees): 4.2714 2.6571 5.0045 79.90 90.00 90.00
Fractional coordinates of all 4 atoms:
Cr 0.0000 0.9993 0.0037
Cr 0.5000 0.2521 0.2468
Mo 0.0000 0.5000 0.4891
W 0.5000 0.7486 0.7605

***

Density functional theory data (PBE) for LaGa2CuPd2 after structural relaxation.

Results
SG   P4/mmm
ΔH_f (0 K)   -0.38 eV/atom

Lattice parameters (Å, degrees): 4.5681 4.5681 5.6518 90.00 90.00 90.00
Fractional coordinates of all 6 atoms:
La 0.0000 0.0000 0.5000
Pd 0.5000 0.5000 0.2564
Ga 0.5000 0.0000 0.0000
Ga 0.0000 0.5000 0.0000
Pd 0.5000 0.5000 0.7436
Cu 0.0000 0.0000 0.0000

***

Density functional theory data (PBE) for ReBOs3 after structural relaxation.

Results
SG   Pm-3m
ΔH_f (0 K)   3.14 eV/atom
Energy relative to the lowest polymorph listed for this composition   2750 meV/atom

Lattice parameters (Å, degrees): 4.7153 4.7153 4.7153 90.00 90.00 90.00
Each line ends with the local moment (μB).
Fractional coordinates of all 5 atoms:
Os 0.0000 0.0000 0.5000  0.30
Os 0.0000 0.5000 0.0000  0.36
Os 0.5000 0.0000 0.0000  0.28
B 0.5000 0.5000 0.5000  -0.02
Re 0.0000 0.0000 0.0000  -0.04

***

Density functional theory data (PBE) for Li5U3Te12 after structural relaxation.

Results
SG   Ia-3d

Lattice parameters (Å, degrees): 14.6493 14.6493 14.6493 109.47 109.47 109.47
Each line ends with the local moment (μB).
Fractional coordinates of all 80 atoms:
Te 0.2741 0.4084 0.8233  -0.10
Te 0.6767 0.4508 0.5851  -0.10
Li 0.7500 0.1250 0.8750  -0.01
Te 0.9508 0.3657 0.2741  -0.10
Te 0.1767 0.0851 0.9508  -0.10
Te 0.8233 0.9149 0.0492  -0.10
Te 0.1343 0.4084 0.0851  -0.10
Te 0.0492 0.4149 0.8233  -0.10
Te 0.0916 0.1767 0.2259  -0.10
Li 0.0000 0.0000 0.0000  -0.01
Te 0.0851 0.1767 0.4508  -0.10
U 0.7500 0.3750 0.1250  1.31
Li 0.3750 0.2500 0.1250  -0.01
Li 0.1250 0.7500 0.3750  -0.01
Te 0.0851 0.9084 0.1343  -0.10
Li 0.2500 0.3750 0.6250  -0.01
Li 0.8750 0.2500 0.6250  -0.01
Te 0.3233 0.7741 0.4084  -0.10
Te 0.7259 0.1343 0.0492  -0.10
Li 0.6250 0.7500 0.8750  -0.01
Te 0.4084 0.1343 0.5851  -0.10
Li 0.0000 0.0000 0.5000  -0.01
Li 0.7500 0.6250 0.3750  -0.01
Te 0.2741 0.8657 0.9508  -0.10
Te 0.5851 0.6343 0.4084  -0.10
U 0.6250 0.2500 0.3750  1.31
Te 0.4508 0.6767 0.0851  -0.10
Te 0.1343 0.7259 0.5492  -0.10
Te 0.9149 0.8233 0.5492  -0.10
U 0.8750 0.1250 0.2500  1.31
Te 0.6343 0.0492 0.2259  -0.10
U 0.8750 0.7500 0.1250  1.31
Te 0.3657 0.9508 0.7741  -0.10
Te 0.8657 0.5916 0.9149  -0.10
Li 0.0000 0.5000 0.0000  -0.01
Li 0.5000 0.0000 0.5000  -0.01
U 0.1250 0.8750 0.7500  1.31
Te 0.8233 0.9084 0.2741  -0.10
Te 0.5492 0.3233 0.9149  -0.10
Te 0.0492 0.6343 0.7259  -0.10
Li 0.6250 0.8750 0.2500  -0.01
Te 0.6767 0.2259 0.5916  -0.10
Li 0.3750 0.1250 0.7500  -0.01
Te 0.9084 0.0851 0.6343  -0.10
U 0.3750 0.6250 0.2500  1.31
U 0.7500 0.8750 0.6250  1.31
Te 0.5851 0.9508 0.6767  -0.10
Li 0.8750 0.6250 0.7500  -0.01
Te 0.4149 0.3657 0.5916  -0.10
Te 0.0916 0.9149 0.3657  -0.10
Te 0.7741 0.3233 0.9084  -0.10
Te 0.5492 0.2259 0.1343  -0.10
Te 0.3657 0.4149 0.0916  -0.10
Te 0.2259 0.5492 0.6343  -0.10
Te 0.6343 0.5851 0.9084  -0.10
Te 0.4508 0.7741 0.8657  -0.10
Li 0.0000 0.5000 0.5000  -0.01
Te 0.9508 0.5851 0.1767  -0.10
Te 0.4084 0.2741 0.3233  -0.10
Te 0.1767 0.0916 0.7259  -0.10
Li 0.1250 0.3750 0.2500  -0.01
Li 0.2500 0.8750 0.1250  -0.01
Te 0.4149 0.0492 0.3233  -0.10
Te 0.3233 0.5492 0.4149  -0.10
U 0.3750 0.7500 0.6250  1.31
Li 0.5000 0.0000 0.0000  -0.01
Te 0.5916 0.8657 0.4149  -0.10
Te 0.9084 0.8233 0.7741  -0.10
Te 0.7741 0.4508 0.3657  -0.10
Te 0.8657 0.2741 0.4508  -0.10
Li 0.5000 0.5000 0.5000  -0.01
Te 0.5916 0.7259 0.6767  -0.10
Te 0.2259 0.6767 0.0916  -0.10
Te 0.9149 0.0916 0.8657  -0.10
Te 0.7259 0.5916 0.1767  -0.10
Li 0.5000 0.5000 0.0000  -0.01
U 0.2500 0.1250 0.3750  1.31
U 0.6250 0.3750 0.7500  1.31
U 0.1250 0.2500 0.8750  1.31
U 0.2500 0.6250 0.8750  1.31

***

Density functional theory data (PBE) for HoSbPd after structural relaxation.

Results
SG   F-43m

Lattice parameters (Å, degrees): 4.7534 4.7534 4.7534 60.00 60.00 60.00
Fractional coordinates of all 3 atoms:
Sb 0.2500 0.2500 0.2500
Ho 0.0000 0.0000 0.0000
Pd 0.5000 0.5000 0.5000

***

Density functional theory data (PBE) for BaLi2Ca2Sn2 after structural relaxation.

Results
SG   R-3m
ΔH_f (0 K)   -0.55 eV/atom

Lattice parameters (Å, degrees): 5.0928 5.0928 10.1624 75.49 75.49 60.00
Fractional coordinates of all 7 atoms:
Ba 0.0000 0.0000 0.0000
Ca 0.8687 0.8687 0.3940
Sn 0.7516 0.7516 0.7453
Sn 0.2484 0.2484 0.2547
Li 0.4149 0.4149 0.7553
Ca 0.1313 0.1313 0.6060
Li 0.5851 0.5851 0.2447

***

Density functional theory data (PBE) for NaAcGdRu after structural relaxation.

Results
SG   F-43m
ΔH_f (0 K)   0.10 eV/atom

Lattice parameters (Å, degrees): 5.2754 5.2754 5.2754 60.00 60.00 60.00
Each line ends with the local moment (μB).
Fractional coordinates of all 4 atoms:
Na 0.2500 0.2500 0.2500  0.00
Ac 0.0000 0.0000 0.0000  0.00
Ru 0.7500 0.7500 0.7500  -0.20
Gd 0.5000 0.5000 0.5000  7.08

***

Density functional theory data (PBE) for Tl2HgPb after structural relaxation.

Results
SG   Pm
ΔH_f (0 K)   0.00 eV/atom

Lattice parameters (Å, degrees): 5.5126 3.3499 6.6895 77.27 90.00 90.00
Fractional coordinates of all 4 atoms:
Hg 0.0000 0.7265 0.4847
Pb 0.5000 0.5603 0.7544
Tl 0.0000 0.9472 0.9829
Tl 0.5000 0.2660 0.2780

***

no.,electronic total energy (eV per atom),total magnetic moment (μB/cell)
1,-10.6694,0.0
2,-4.6265,0.0
3,-7.4210,0.9
4,-4.5491,7.4
5,-5.3515,0.0
6,-3.0886,0.0
7,-7.0930,7.0
8,-2.1889,0.0